Entry 1:
A plane-wave DFT calculation with GGA-PBE was carried out for crystalline Li2YNi9 at its relaxed geometry.

ΔH_f (0 K): -0.157 eV/atom
total moment: 3.736 μB per formula unit
energy relative to the lowest polymorph listed for this composition: 0.000 eV/atom

```
data_Li2YNi9
_chemical_formula_sum 'Li4 Y2 Ni18'
_space_group_name_H-M_alt 'P 1'
_space_group_IT_number 1
_cell_length_a 4.722
_cell_length_b 8.069
_cell_length_c 8.069
_cell_angle_alpha 90.00
_cell_angle_beta 90.00
_cell_angle_gamma 90.00
loop_
_space_group_symop_operation_xyz
'x,y,z'
loop_
_atom_site_label
_atom_site_fract_x
_atom_site_fract_y
_atom_site_fract_z
Li1 0.000 0.114 0.386
Ni1 0.500 0.438 0.710
Ni2 0.500 0.500 0.000
Li2 0.000 0.614 0.114
Ni3 0.757 0.180 0.680
Ni4 0.243 0.180 0.680
Li3 0.000 0.886 0.614
Ni5 0.500 0.290 0.438
Ni6 0.500 0.062 0.210
Ni7 0.757 0.680 0.820
Y1 0.000 0.500 0.500
Ni8 0.757 0.320 0.180
Ni9 0.243 0.320 0.180
Ni10 0.500 0.710 0.562
Li4 0.000 0.386 0.886
Ni11 0.500 0.938 0.790
Ni12 0.500 0.790 0.062
Y2 0.000 0.000 0.000
Ni13 0.500 0.210 0.938
Ni14 0.243 0.820 0.320
Ni15 0.500 0.562 0.290
Ni16 0.243 0.680 0.820
Ni17 0.757 0.820 0.320
Ni18 0.500 0.000 0.500
```

---

Entry 2:
A plane-wave DFT calculation with GGA-PBE was carried out for crystalline CaRuSe2 at its relaxed geometry.

total moment: 0.028 μB per formula unit
energy relative to the lowest polymorph listed for this composition: 0.556 eV/atom

```
data_CaRuSe2
_chemical_formula_sum 'Ca1 Ru1 Se2'
_space_group_name_H-M_alt 'P 1'
_space_group_IT_number 1
_cell_length_a 8.444
_cell_length_b 8.444
_cell_length_c 8.444
_cell_angle_alpha 26.28
_cell_angle_beta 26.28
_cell_angle_gamma 26.28
loop_
_space_group_symop_operation_xyz
'x,y,z'
loop_
_atom_site_label
_atom_site_fract_x
_atom_site_fract_y
_atom_site_fract_z
Se1 0.116 0.116 0.116
Ca1 0.000 0.000 0.000
Se2 0.884 0.884 0.884
Ru1 0.500 0.500 0.500
```

---

Entry 3:
A plane-wave DFT calculation with GGA-PBE was carried out for crystalline YU2N4 at its relaxed geometry.

total moment: 2.621 μB per formula unit
electronic total energy: -10.30 eV/atom

```
data_YU2N4
_chemical_formula_sum 'Y2 U4 N8'
_space_group_name_H-M_alt 'P 1'
_space_group_IT_number 1
_cell_length_a 3.391
_cell_length_b 5.917
_cell_length_c 10.566
_cell_angle_alpha 90.00
_cell_angle_beta 90.00
_cell_angle_gamma 106.65
loop_
_space_group_symop_operation_xyz
'x,y,z'
loop_
_atom_site_label
_atom_site_fract_x
_atom_site_fract_y
_atom_site_fract_z
N1 0.229 0.458 0.607
N2 0.771 0.542 0.393
N3 0.229 0.458 0.893
U1 0.131 0.261 0.429
U2 0.869 0.739 0.929
U3 0.869 0.739 0.571
N4 0.500 0.000 0.000
U4 0.131 0.261 0.071
N5 0.771 0.542 0.107
Y1 0.609 0.217 0.750
N6 0.500 0.000 0.500
N7 0.036 0.071 0.250
N8 0.964 0.929 0.750
Y2 0.391 0.783 0.250
```

---

Entry 4:
A plane-wave DFT calculation with GGA-PBE was carried out for crystalline Tb2DyY2Mg5 at its relaxed geometry.

ΔH_f (0 K): 0.079 eV/atom
total moment: 0.000 μB per formula unit

```
data_Tb2DyY2Mg5
_chemical_formula_sum 'Tb4 Dy2 Y4 Mg10'
_space_group_name_H-M_alt 'P 1'
_space_group_IT_number 1
_cell_length_a 5.070
_cell_length_b 10.602
_cell_length_c 10.602
_cell_angle_alpha 90.00
_cell_angle_beta 90.00
_cell_angle_gamma 90.00
loop_
_space_group_symop_operation_xyz
'x,y,z'
loop_
_atom_site_label
_atom_site_fract_x
_atom_site_fract_y
_atom_site_fract_z
Dy1 0.000 0.000 0.000
Mg1 0.500 0.500 0.000
Mg2 0.500 0.197 0.068
Mg3 0.500 0.303 0.568
Tb1 0.000 0.381 0.119
Tb2 0.000 0.619 0.881
Mg4 0.500 0.697 0.432
Mg5 0.500 0.568 0.697
Mg6 0.500 0.803 0.932
Y1 0.000 0.822 0.678
Tb3 0.000 0.119 0.619
Mg7 0.500 0.932 0.197
Y2 0.000 0.178 0.322
Mg8 0.500 0.000 0.500
Y3 0.000 0.678 0.178
Dy2 0.000 0.500 0.500
Mg9 0.500 0.432 0.303
Y4 0.000 0.322 0.822
Mg10 0.500 0.068 0.803
Tb4 0.000 0.881 0.381
```